The following is a PBE calculation of an optimized crystal structure of YGeHIr2, from Alexandria.

As for the crystal system: orthorhombic. The density comes out at 11.929 g cm⁻³. The total magnetization comes out at 0.000 μB/f.u. For the total energy, the calculation gives -139.99 eV per cell. The calculation puts the volume at 15.2 Å³ per atom.

The space group is Cmcm (No. 63) and the conventional cell measures 3.906, 10.716 and 7.276 Å, with angles of 90.00, 90.00 and 90.00 degrees. The distinct sites, in fractional coordinates, are Y at (0.000, 0.055, 0.250), Ge at (0.000, 0.226, 0.750), H at (0.000, 0.500, 0.000) and Ir at (0.000, 0.343, 0.054).